[1]
# TlMoC3 | the Alexandria database | PBE | relaxed
# Relative energy among the computed polymorphs, meV/atom: 0
# V, Å³ per cell: 74.1
# Calculated formation energy, eV per formula unit: 9.1
data_TlMoC3
_cell_length_a 4.2000
_cell_length_b 4.2000
_cell_length_c 4.2000
_cell_angle_alpha 90.00
_cell_angle_beta 90.00
_cell_angle_gamma 90.00
_space_group_name_H-M_alt 'P m -3 m'
_space_group_IT_number 221
_space_group_name_Hall '-P 4 2 3'
loop_
_atom_site_label
_atom_site_type_symbol
_atom_site_fract_x
_atom_site_fract_y
_atom_site_fract_z
_atom_site_occupancy
Tl1 Tl 0.0000 0.0000 0.0000 1
Mo1 Mo 0.5000 0.5000 0.5000 1
C1 C 0.0000 0.5000 0.5000 1

---

[2]
# TlMoC3 | the Alexandria database | PBE | relaxed
# Relative energy among the computed polymorphs, meV/atom: 1959
# V, Å³ per cell: 74.1
# Calculated formation energy, eV per formula unit: 18.9
data_TlMoC3
_cell_length_a 4.1999
_cell_length_b 4.1999
_cell_length_c 4.1999
_cell_angle_alpha 90.00
_cell_angle_beta 90.00
_cell_angle_gamma 90.00
_space_group_name_H-M_alt 'P m -3 m'
_space_group_IT_number 221
_space_group_name_Hall '-P 4 2 3'
loop_
_atom_site_label
_atom_site_type_symbol
_atom_site_fract_x
_atom_site_fract_y
_atom_site_fract_z
_atom_site_occupancy
Tl1 Tl 0.0000 0.0000 0.0000 1
Mo1 Mo 0.5000 0.5000 0.5000 1
C1 C 0.0000 0.0000 0.5000 1

---

[3]
# Tl2Mo2C | the Alexandria database | PBE | relaxed
# Relative energy among the computed polymorphs, meV/atom: 0
# V, Å³ per cell: 202.7
# Calculated formation energy, eV per formula unit: 8.4
data_Tl2Mo2C
_cell_length_a 3.5007
_cell_length_b 3.5007
_cell_length_c 16.5410
_cell_angle_alpha 90.00
_cell_angle_beta 90.00
_cell_angle_gamma 90.00
_space_group_name_H-M_alt 'I 4/m m m'
_space_group_IT_number 139
_space_group_name_Hall '-I 4 2'
loop_
_atom_site_label
_atom_site_type_symbol
_atom_site_fract_x
_atom_site_fract_y
_atom_site_fract_z
_atom_site_occupancy
Tl1 Tl 0.0000 0.0000 0.0914 1
Mo1 Mo 0.0000 0.5000 0.2500 1
C1 C 0.0000 0.0000 0.5000 1

---

[4]
# TlMo2C | the Alexandria database | PBE | relaxed
# Relative energy among the computed polymorphs, meV/atom: 0
# V, Å³ per cell: 314.2
# Calculated formation energy, eV per formula unit: 4.2
data_TlMo2C
_cell_length_a 5.2653
_cell_length_b 5.2653
_cell_length_c 11.3351
_cell_angle_alpha 90.00
_cell_angle_beta 90.00
_cell_angle_gamma 90.00
_space_group_name_H-M_alt 'I -4 2 d'
_space_group_IT_number 122
_space_group_name_Hall 'I -4 2bw'
loop_
_atom_site_label
_atom_site_type_symbol
_atom_site_fract_x
_atom_site_fract_y
_atom_site_fract_z
_atom_site_occupancy
Tl1 Tl 0.0000 0.0000 0.0000 1
Mo1 Mo 0.0939 0.2500 0.6250 1
C1 C 0.0000 0.0000 0.5000 1

---

[5]
# Tl2Mo2C | the Alexandria database | PBE | relaxed
# Relative energy among the computed polymorphs, meV/atom: 169
# V, Å³ per cell: 197.5
# Calculated formation energy, eV per formula unit: 9.3
data_Tl2Mo2C
_cell_length_a 6.6504
_cell_length_b 6.6504
_cell_length_c 4.4660
_cell_angle_alpha 90.00
_cell_angle_beta 90.00
_cell_angle_gamma 90.00
_space_group_name_H-M_alt 'P 4/m b m'
_space_group_IT_number 127
_space_group_name_Hall '-P 4 2ab'
loop_
_atom_site_label
_atom_site_type_symbol
_atom_site_fract_x
_atom_site_fract_y
_atom_site_fract_z
_atom_site_occupancy
Tl1 Tl 0.1725 0.3275 0.0000 1
Mo1 Mo 0.1230 0.6230 0.5000 1
C1 C 0.0000 0.0000 0.0000 1

---

[6]
# TlMo2C | the Alexandria database | PBE | relaxed
# Relative energy among the computed polymorphs, meV/atom: 623
# V, Å³ per cell: 241.4
# Calculated formation energy, eV per formula unit: 6.7
data_TlMo2C
_cell_length_a 6.2269
_cell_length_b 6.2269
_cell_length_c 6.2269
_cell_angle_alpha 90.00
_cell_angle_beta 90.00
_cell_angle_gamma 90.00
_space_group_name_H-M_alt 'F m -3 m'
_space_group_IT_number 225
_space_group_name_Hall '-F 4 2 3'
loop_
_atom_site_label
_atom_site_type_symbol
_atom_site_fract_x
_atom_site_fract_y
_atom_site_fract_z
_atom_site_occupancy
Tl1 Tl 0.0000 0.0000 0.0000 1
Mo1 Mo 0.2500 0.2500 0.2500 1
C1 C 0.0000 0.0000 0.5000 1